{"formula": "TeBrCl2", "functional": "PBE", "state": "optimized geometry", "cell": [[7.574, 0.286, -0.016], [4.699, 5.946, 0.016], [-5.623, -4.127, 2.964]], "species": ["Te", "Cl", "Cl", "Br"], "fractional_positions": [[0.502, 0.502, 0.000], [0.647, 0.147, 0.500], [0.004, 0.004, 0.000], [0.347, 0.847, 0.500]], "n_ef_per_ev_cell": 1.93, "sg": "Imm2", "de_polymorph_mev_per_atom": 259.6, "e_tot_ev_per_atom": -2.270}